No. 1
The following is a DFT calculation (meta-GGA SCAN) of a crystal of Hf3MgIr relaxed with PBEsol.

Cell: 4.9938 4.9938 4.9938 Å, 90.00 90.00 90.00°
Closest atoms and distances in Å follow each position.
Element x y z (fractional)
Hf: 0.0000 0.0000 0.5000  2 Ir 2.50
Hf: 0.0000 0.5000 0.0000  2 Ir 2.50
Hf: 0.5000 0.0000 0.0000  2 Ir 2.50
Mg: 0.5000 0.5000 0.5000  12 Hf 3.53
Ir: 0.0000 0.0000 0.0000  6 Hf 2.50

ΔE to the lowest computed polymorph in meV/atom: 0
Calculated formation energy in eV/atom: 0.083

No. 2
The following is a DFT calculation (meta-GGA SCAN) of a crystal of BaTb2ZnO5 relaxed with PBEsol.

Cell: 12.3174 5.7002 7.0574 Å, 90.00 90.00 90.00°
Closest atoms and distances in Å follow each position.
Element x y z (fractional)
Ba: 0.1004 0.2500 0.0769  7 O 2.69-3.01
Ba: 0.3996 0.7500 0.5769  7 O 2.69-3.01
Ba: 0.6004 0.2500 0.4231  7 O 2.69-3.01
Ba: 0.8996 0.7500 0.9231  7 O 2.69-3.01
Tb: 0.0747 0.7500 0.4005  7 O 2.30-2.35
Tb: 0.2077 0.2500 0.6199  7 O 2.29-2.38
Tb: 0.2923 0.7500 0.1199  7 O 2.29-2.38
Tb: 0.4253 0.2500 0.9005  7 O 2.30-2.35
Tb: 0.5747 0.7500 0.0995  7 O 2.30-2.35
Tb: 0.7077 0.2500 0.8801  7 O 2.29-2.38
Tb: 0.7923 0.7500 0.3801  7 O 2.29-2.38
Tb: 0.9253 0.2500 0.5995  7 O 2.30-2.35
Zn: 0.1508 0.7500 0.8089  5 O 1.97-2.12
Zn: 0.3492 0.2500 0.3089  5 O 1.97-2.12
Zn: 0.6508 0.7500 0.6911  5 O 1.97-2.12
Zn: 0.8492 0.2500 0.1911  5 O 1.97-2.12
O: 0.0653 0.5027 0.6661  1 Zn 2.03
O: 0.0653 0.9973 0.6661  1 Zn 2.03
O: 0.1004 0.7500 0.0746  1 Zn 1.97
O: 0.2245 0.0012 0.3583  1 Zn 2.12, 3 Tb 2.34-2.36
O: 0.2245 0.4988 0.3583  1 Zn 2.12, 3 Tb 2.34-2.36
O: 0.2755 0.5012 0.8583  1 Zn 2.12, 3 Tb 2.34-2.36
O: 0.2755 0.9988 0.8583  1 Zn 2.12, 3 Tb 2.34-2.36
O: 0.3996 0.2500 0.5746  1 Zn 1.97
O: 0.4347 0.0027 0.1661  1 Zn 2.03
O: 0.4347 0.4973 0.1661  1 Zn 2.03
O: 0.5653 0.5027 0.8339  1 Zn 2.03
O: 0.5653 0.9973 0.8339  1 Zn 2.03
O: 0.6004 0.7500 0.4254  1 Zn 1.97
O: 0.7245 0.0012 0.1417  1 Zn 2.12, 3 Tb 2.34-2.36
O: 0.7245 0.4988 0.1417  1 Zn 2.12, 3 Tb 2.34-2.36
O: 0.7755 0.5012 0.6417  1 Zn 2.12, 3 Tb 2.34-2.36
O: 0.7755 0.9988 0.6417  1 Zn 2.12, 3 Tb 2.34-2.36
O: 0.8996 0.2500 0.9254  1 Zn 1.97
O: 0.9347 0.0027 0.3339  1 Zn 2.03
O: 0.9347 0.4973 0.3339  1 Zn 2.03

Energy relative to the elements, uncorrected in eV per formula unit: -28.56

No. 3
The following is a DFT calculation (meta-GGA SCAN) of a crystal of Ca2ReBr relaxed with PBEsol.

Cell: 9.0122 9.0122 9.0122 Å, 22.12 22.12 22.12°
Closest atoms and distances in Å follow each position.
Element x y z (fractional)
Ca: 0.2469 0.2469 0.2469  3 Re 2.91, 3 Br 3.03
Ca: 0.7531 0.7531 0.7531  3 Re 2.91, 3 Br 3.03
Re: 0.5000 0.5000 0.5000  6 Ca 2.91
Br: 0.0000 0.0000 0.0000  6 Ca 3.03

Energy relative to the elements, uncorrected in eV per formula unit: -0.21